# Ac2CrRhO6, relaxed, DFT PBE with a Hubbard U
data_Ac2CrRhO6
_cell_length_a 5.6713
_cell_length_b 5.6713
_cell_length_c 4.0293
_cell_angle_alpha 90.00
_cell_angle_beta 90.00
_cell_angle_gamma 90.00
_symmetry_space_group_name_H-M 'P 4/m m m'
_symmetry_Int_Tables_number 123
_symmetry_space_group_name_Hall '-P 4 2'
loop_
_atom_site_label
_atom_site_type_symbol
_atom_site_fract_x
_atom_site_fract_y
_atom_site_fract_z
Ac1 Ac 0.0000 0.5000 0.0000
Cr1 Cr 0.0000 0.0000 0.5000
Rh1 Rh 0.5000 0.5000 0.5000
O1 O 0.0000 0.0000 0.0000
O2 O 0.2466 0.2466 0.5000
O3 O 0.5000 0.5000 0.0000
# Size of the total moment (μB/f.u.): 3.1
# Total energy (hartree per atom): -0.28005